# 1
Entry from Alexandria via LeMat-Bulk: an optimized crystal structure of BeAlO2 (GGA-PBE).

Summary:
SG: Fm-3m (225)
Energy relative to the elements, uncorrected, eV/atom: -0.7860
Offset from the most stable computed form, eV per atom: 1.3137
Total moment, μB/cell: 0.0

Cell: 3.635 3.635 3.635 Å, 60.00 60.00 60.00°
Positions (direct):
Al: 0.500 0.500 0.500
Be: 0.000 0.000 0.000
O: 0.750 0.750 0.750
O: 0.250 0.250 0.250

# 2
Entry from Alexandria via LeMat-Bulk: an optimized crystal structure of Ca4AgPd (GGA-PBE).

Summary:
SG: P4/mmm (123)
Offset from the most stable computed form, eV per atom: 0.0566
Total moment, μB/cell: 0.0

Cell: 5.092 5.093 7.249 Å, 89.95 89.97 90.00°
Positions (direct):
Ca: 0.501 0.998 0.739
Ag: 0.501 0.497 0.998
Ca: 0.001 0.498 0.739
Ca: 0.501 0.997 0.258
Ca: 0.001 0.497 0.258
Pd: 0.001 0.997 0.498

# 3
Entry from Alexandria via LeMat-Bulk: an optimized crystal structure of MgTc2Pd (GGA-PBE).

Summary:
SG: I-42d (122)
Offset from the most stable computed form, eV per atom: 0.1787
Total moment, μB/cell: 0.0

Cell: 7.546 7.546 5.867 Å, 49.98 49.98 90.00°
Positions (direct):
Tc: 0.660 0.125 0.250
Tc: 0.375 0.340 0.750
Pd: 0.000 0.000 0.000
Mg: 0.500 0.500 0.000
Pd: 0.750 0.250 0.500
Tc: 0.875 0.910 0.750
Mg: 0.250 0.750 0.500
Tc: 0.090 0.625 0.250

# 4
Entry from Alexandria via LeMat-Bulk: an optimized crystal structure of TiTl3Ir (GGA-PBE).

Summary:
SG: Pm-3m (221)
Offset from the most stable computed form, eV per atom: 0.5259
Total moment, μB/cell: 1.0

Cell: 5.281 5.281 5.281 Å, 90.00 90.00 90.00°
Positions (direct):
Tl: 0.500 0.000 0.000
Tl: 0.000 0.500 0.000
Tl: 0.000 0.000 0.500
Ti: 0.000 0.000 0.000
Ir: 0.500 0.500 0.500

# 5
Entry from Alexandria via LeMat-Bulk: an optimized crystal structure of K3Ce3HoTe8 (GGA-PBE).

Summary:
SG: R-3m (166)
Energy relative to the elements, uncorrected, eV/atom: -1.3349
Total moment, μB/cell: 2.0

Cell: 9.105 9.104 9.856 Å, 117.51 90.00 120.00°
Positions (direct):
Ce: 0.000 0.500 0.500
Ce: 0.500 0.000 0.500
Te: 0.262 0.524 0.287
Te: 0.233 0.973 0.707
Te: 0.260 0.027 0.293
K: 0.000 0.000 0.000
Te: 0.767 0.533 0.293
Ho: 0.000 0.000 0.500
Te: 0.740 0.973 0.707
Te: 0.233 0.467 0.707
Te: 0.738 0.476 0.713
K: 0.500 0.500 0.000
K: 0.000 0.500 0.000
Te: 0.767 0.027 0.293
Ce: 0.500 0.500 0.500

# 6
Entry from Alexandria via LeMat-Bulk: an optimized crystal structure of PuGaRhAu (GGA-PBE).

Summary:
Total energy, eV per atom: -7.32
SG: F-43m (216)
Total moment, μB/cell: 4.9

Cell: 4.766 4.766 4.766 Å, 60.00 60.00 60.00°
Positions (direct):
Au: 0.500 0.500 0.500
Rh: 0.000 0.000 0.000
Ga: 0.250 0.250 0.250
Pu: 0.750 0.750 0.750

# 7
Entry from Alexandria via LeMat-Bulk: an optimized crystal structure of Pa2Nb3Ge2 (GGA-PBE).

Summary:
Total energy, eV per atom: -8.60
SG: C2/m (12)
Total moment, μB/cell: 0.0

Cell: 3.617 5.789 7.265 Å, 96.00 90.00 108.20°
Positions (direct):
Ge: 0.922 0.843 0.353
Nb: 0.684 0.368 0.875
Pa: 0.645 0.289 0.336
Nb: 0.316 0.632 0.125
Nb: 0.000 0.000 0.000
Pa: 0.355 0.711 0.664
Ge: 0.078 0.157 0.647

# 8
Entry from Alexandria via LeMat-Bulk: an optimized crystal structure of Co2MoPtN (GGA-PBE).

Summary:
SG: P4/mmm (123)
Energy relative to the elements, uncorrected, eV/atom: 2.4447
Offset from the most stable computed form, eV per atom: 2.5246
Total moment, μB/cell: 3.7

Cell: 4.448 4.844 4.448 Å, 90.00 90.00 90.00°
Positions (direct):
Mo: 0.000 0.000 0.000
Pt: 0.000 0.500 0.000
Co: 0.500 0.000 0.000
N: 0.500 0.500 0.500
Co: 0.000 0.000 0.500

# 9
Entry from Alexandria via LeMat-Bulk: an optimized crystal structure of BaSeCl (GGA-PBE).

Summary:
SG: F-43m (216)
Energy relative to the elements, uncorrected, eV/atom: -1.3317
Offset from the most stable computed form, eV per atom: 0.6301
Total moment, μB/cell: 1.0

Cell: 5.233 5.233 5.233 Å, 60.00 60.00 60.00°
Positions (direct):
Cl: 0.750 0.750 0.750
Se: 0.000 0.000 0.000
Ba: 0.500 0.500 0.500

# 10
Entry from Alexandria via LeMat-Bulk: an optimized crystal structure of Li2ZnAuCl (GGA-PBE).

Summary:
SG: P4/mmm (123)
Energy relative to the elements, uncorrected, eV/atom: -0.3079
Total moment, μB/cell: 0.0

Cell: 4.255 6.225 4.255 Å, 90.00 90.00 90.00°
Positions (direct):
Cl: 0.000 0.000 0.000
Li: 0.500 0.000 0.000
Li: 0.000 0.000 0.500
Au: 0.000 0.500 0.000
Zn: 0.500 0.500 0.500

# 11
Entry from Alexandria via LeMat-Bulk: an optimized crystal structure of LiGaCu2 (GGA-PBE).

Summary:
Total energy, eV per atom: -3.19
SG: I-42d (122)
Total moment, μB/cell: 0.0

Cell: 3.612 3.612 9.158 Å, 78.63 78.63 90.00°
Positions (direct):
Ga: 0.750 0.250 0.500
Li: 0.500 0.500 0.000
Li: 0.250 0.750 0.500
Cu: 0.375 0.369 0.750
Cu: 0.631 0.125 0.250
Ga: 0.000 0.000 0.000
Cu: 0.875 0.881 0.750
Cu: 0.119 0.625 0.250

# 12
Entry from Alexandria via LeMat-Bulk: an optimized crystal structure of Be2IrRu (GGA-PBE).

Summary:
Total energy, eV per atom: -6.62
SG: C2/m (12)
Total moment, μB/cell: 0.0

Cell: 3.895 3.895 4.785 Å, 79.53 79.53 40.64°
Positions (direct):
Be: 0.002 0.002 0.001
Be: 0.498 0.498 0.499
Ir: 0.750 0.750 0.750
Ru: 0.250 0.250 0.250

Which value of total moment does entry 11 give?
0.0 μB/cell

Which value of total moment does entry 11 give?
0.0 μB/cell